The following is a DFT calculation (SCAN) of a PBEsol-optimized structure of BeBAsIr2.

Cell: 4.5985 4.5985 3.7457 Å, 90.00 90.00 90.00°
Space group P4/mmm (No. 123)
Unique sites:
Be1 0.0000 0.0000 0.0000 (multiplicity 1)
B1 0.5000 0.5000 0.0000 (multiplicity 1)
As1 0.5000 0.5000 0.5000 (multiplicity 1)
Ir1 0.0000 0.5000 0.5000 (multiplicity 2)

## Properties
spin magnetization: 0.00 μB/cell
DOS(E_F): 4.404 states/eV per cell
volume: 79 Å³ per cell
formation energy: 1.573 eV per atom



The following is a DFT calculation (SCAN) of a PBEsol-optimized structure of CoSbCl2.

Cell: 2.9961 2.9961 9.8895 Å, 90.00 90.00 90.00°
Space group P4/mmm (No. 123)
Unique sites:
Co1 0.0000 0.0000 0.0000 (multiplicity 1)
Sb1 0.0000 0.0000 0.5000 (multiplicity 1)
Cl1 0.5000 0.5000 0.1476 (multiplicity 2)

## Properties
spin magnetization: 2.81 μB/cell
DOS(E_F): 1.582 states/eV per cell
volume: 89 Å³ per cell
ΔE to the lowest computed polymorph: 120 meV per atom



The following is a DFT calculation (SCAN) of a PBEsol-optimized structure of SbMoP2.

Cell: 3.3054 5.2725 7.8137 Å, 90.00 90.00 90.00°
Space group Immm (No. 71)
Unique sites:
Sb1 0.0000 0.0000 0.0000 (multiplicity 2)
Mo1 0.0000 0.0000 0.5000 (multiplicity 2)
P1 0.0000 0.5000 0.2333 (multiplicity 4)

## Properties
spin magnetization: 0.00 μB/cell
DOS(E_F): 5.858 states/eV per cell
volume: 136 Å³ per cell
uncorrected energy: -22.620 eV per atom